No. 1
The following is a DFT calculation (PBE) of a relaxed SbTeRu crystal.

The structure belongs to space group P2_1 (No. 4); the cell edges are 6.688, 6.597 and 6.776 Å and the angles 90.00°, 114.54° and 90.00°. The asymmetric unit holds Sb at (0.144, 0.000, 0.131), Sb at (0.351, 0.494, 0.422), Te at (0.148, 0.772, 0.627), Te at (0.344, 0.277, 0.928), Ru at (0.272, 0.142, 0.544) and Ru at (0.277, 0.643, 0.041).



No. 2
The following is a DFT calculation (PBE) of a relaxed Sb3TeRu crystal.

The structure belongs to space group Pm-3m (No. 221); the cell edges are 5.161, 5.161 and 5.161 Å and the angles 90.00°, 90.00° and 90.00°. The asymmetric unit holds Sb at (0.000, 0.000, 0.500), Te at (0.500, 0.500, 0.500) and Ru at (0.000, 0.000, 0.000).

The value obtained for the offset from the most stable computed form is 0.56 eV/f.u.



No. 3
The following is a DFT calculation (PBE) of a relaxed Sb3TeRu crystal.

The structure belongs to space group P2_1/m (No. 11); the cell edges are 5.034, 11.002 and 5.183 Å and the angles 90.00°, 90.21° and 90.00°. The asymmetric unit holds Sb at (0.247, 0.250, 0.211), Sb at (0.249, 0.010, 0.837), Te at (0.251, 0.750, 0.182) and Ru at (0.249, 0.250, 0.692).

The value obtained for the offset from the most stable computed form is 0.00 eV/f.u.



No. 4
The following is a DFT calculation (PBE) of a relaxed SbTeRu crystal.

The structure belongs to space group F-43m (No. 216); the cell edges are 6.472, 6.472 and 6.472 Å and the angles 90.00°, 90.00° and 90.00°. The asymmetric unit holds Sb at (0.000, 0.000, 0.000), Te at (0.000, 0.000, 0.500) and Ru at (0.250, 0.250, 0.250).



No. 5
The following is a DFT calculation (PBE) of a relaxed SbTeRu crystal.

The structure belongs to space group Fdd2 (No. 43); the cell edges are 11.211, 13.201 and 7.451 Å and the angles 90.00°, 90.00° and 90.00°. The asymmetric unit holds Sb at (0.098, 0.070, 0.000), Te at (0.105, 0.069, 0.501) and Ru at (0.001, 0.248, 0.500).



No. 6
The following is a DFT calculation (PBE) of a relaxed Sb3TeRu crystal.

The structure belongs to space group Pm-3m (No. 221); the cell edges are 5.632, 5.632 and 5.632 Å and the angles 90.00°, 90.00° and 90.00°. The asymmetric unit holds Sb at (0.000, 0.000, 0.500), Te at (0.000, 0.000, 0.000) and Ru at (0.500, 0.500, 0.500).

The value obtained for the offset from the most stable computed form is 7.19 eV/f.u.



No. 7
The following is a DFT calculation (PBE) of a relaxed Sb12TeRu4 crystal.

The structure belongs to space group Im-3 (No. 204); the cell edges are 9.459, 9.459 and 9.459 Å and the angles 90.00°, 90.00° and 90.00°. The asymmetric unit holds Sb at (0.000, 0.327, 0.155), Te at (0.000, 0.000, 0.000) and Ru at (0.250, 0.250, 0.250).



No. 8
The following is a DFT calculation (PBE) of a relaxed SbTeRu crystal.

The structure belongs to space group I4mm (No. 107); the cell edges are 3.225, 3.225 and 13.524 Å and the angles 90.00°, 90.00° and 90.00°. The asymmetric unit holds Sb at (0.000, 0.000, 0.000), Te at (0.000, 0.000, 0.248) and Ru at (0.000, 0.000, 0.633).



No. 9
The following is a DFT calculation (PBE) of a relaxed SbTeRu crystal.

The structure belongs to space group P3m1 (No. 156); the cell edges are 3.7524, 3.7524 and 5.7209 Å and the angles 90.00°, 90.00° and 120.00°. The asymmetric unit holds Sb at (0.0000, 0.0000, 0.0000), Te at (0.6667, 0.3333, 0.4545) and Ru at (0.3333, 0.6667, 0.7202).



No. 10
The following is a DFT calculation (PBE) of a relaxed Th4SbTe2Ru crystal.

The structure belongs to space group P2/m (No. 10); the cell edges are 7.842, 4.241 and 7.846 Å and the angles 90.00°, 107.59° and 90.00°. The asymmetric unit holds Th at (0.205, 0.000, 0.208), Th at (0.227, 0.500, 0.767), Sb at (0.000, 0.000, 0.500), Te at (0.500, 0.000, 0.000), Te at (0.500, 0.500, 0.500) and Ru at (0.000, 0.500, 0.000).



No. 11
The following is a DFT calculation (PBE) of a relaxed Th6SbTe3Ru2 crystal.

The structure belongs to space group C2/m (No. 12); the cell edges are 19.386, 4.262 and 9.202 Å and the angles 90.00°, 106.36° and 90.00°. The asymmetric unit holds Th at (0.021, 0.000, 0.261), Th at (0.172, 0.500, 0.131), Th at (0.180, 0.500, 0.561), Sb at (0.000, 0.500, 0.000), Te at (0.000, 0.500, 0.500), Te at (0.156, 0.000, 0.839) and Ru at (0.171, 0.000, 0.340).



No. 12
The following is a DFT calculation (PBE) of a relaxed TlSb2TeRu crystal.

The structure belongs to space group P4/mmm (No. 123); the cell edges are 5.604, 5.604 and 5.703 Å and the angles 90.00°, 90.00° and 90.00°. The asymmetric unit holds Tl at (0.000, 0.000, 0.000), Sb at (0.000, 0.500, 0.000), Te at (0.000, 0.000, 0.500) and Ru at (0.500, 0.500, 0.500).

The value obtained for the offset from the most stable computed form is 6.93 eV/f.u.



Number 1: E_form (uncorrected) -1.0 eV/f.u., magnetization 0.00 μB/atom. Number 2: E_form (uncorrected) 1.5 eV/f.u., magnetization 0.00 μB/atom. Number 3: E_form (uncorrected) 1.0 eV/f.u., magnetization 0.00 μB/atom. Number 4: E_form (uncorrected) -0.2 eV/f.u., magnetization 0.00 μB/atom. Number 5: E_form (uncorrected) -0.7 eV/f.u., magnetization 0.00 μB/atom. Number 6: E_form (uncorrected) 8.2 eV/f.u., magnetization 0.44 μB/atom. Number 7: E_form (uncorrected) -1.4 eV/f.u., magnetization 0.00 μB/atom. Number 8: E_form (uncorrected) 0.1 eV/f.u., magnetization 0.21 μB/atom. Number 9: E_form (uncorrected) 0.0 eV/f.u., magnetization 0.00 μB/atom. Number 10: E_form (uncorrected) -7.2 eV/f.u., magnetization 0.00 μB/atom. Number 11: E_form (uncorrected) -11.0 eV/f.u., magnetization 0.00 μB/atom. Number 12: E_form (uncorrected) 8.3 eV/f.u., magnetization 0.45 μB/atom.